[1]
Below is a relaxed structure of CdCoPt, with properties calculated at the PBE-GGA level.

```
3
Lattice="-1.4291 1.4291 5.7187 1.4291 -1.4291 5.7187 1.4291 1.4291 -5.7187" Properties=species:S:1:pos:R:3 pbc="T T T"
Cd 0.0000 0.0000 0.0000
Co 0.0000 0.0000 3.7460
Pt 0.0000 0.0000 7.8624
```

Summary:
size of the total moment = 1.89 μB per cell
uncorrected energy = -4.691 eV/atom


[2]
Below is a relaxed structure of SmMgAlGe2, with properties calculated at the PBE-GGA level.

```
10
Lattice="7.0598 -2.1256 0.0000 7.0598 2.1256 0.0000 -6.1937 0.0000 7.9248" Properties=species:S:1:pos:R:3 pbc="T T T"
Sm 2.1293 0.0000 1.1666
Sm 5.7966 0.0000 6.7582
Mg 1.3791 0.0000 4.7351
Mg 6.5468 0.0000 3.1898
Al -3.6939 0.0000 5.6595
Al 11.6198 0.0000 2.2654
Ge -1.3414 0.0000 4.6257
Ge 5.1386 0.0000 0.8941
Ge 2.7873 0.0000 7.0307
Ge 9.2673 0.0000 3.2991
```

Summary:
size of the total moment = 0.00 μB per cell
uncorrected energy = -4.253 eV/atom


[3]
Below is a relaxed structure of TaRuPb2, with properties calculated at the PBE-GGA level.

```
4
Lattice="3.2280 0.0000 0.0000 0.0000 3.2740 0.0000 -1.4014 0.0000 8.7283" Properties=species:S:1:pos:R:3 pbc="T T T"
Ta 0.0000 0.0000 0.0000
Ru 1.6099 1.6370 1.3088
Pb -0.0067 0.0000 3.3682
Pb 0.2164 1.6370 6.5261
```

Summary:
size of the total moment = 0.00 μB per cell
uncorrected energy = -7.041 eV/atom


[4]
Below is a relaxed structure of NbTlC3, with properties calculated at the PBE-GGA level.

```
5
Lattice="4.2059 0.0000 0.0000 0.0000 4.2059 0.0000 0.0000 0.0000 4.2059" Properties=species:S:1:pos:R:3 pbc="T T T"
Nb 0.0000 0.0000 0.0000
Tl 2.1029 2.1029 2.1029
C 0.0000 2.1029 2.1029
C 2.1029 0.0000 2.1029
C 2.1029 2.1029 0.0000
```

Summary:
size of the total moment = 0.02 μB per cell
uncorrected energy = -4.665 eV/atom


[5]
Below is a relaxed structure of CaAlIr, with properties calculated at the PBE-GGA level.

```
3
Lattice="-1.6100 1.6100 5.5972 1.6100 -1.6100 5.5972 1.6100 1.6100 -5.5972" Properties=species:S:1:pos:R:3 pbc="T T T"
Ca 0.0000 0.0000 0.0000
Al 0.0000 0.0000 3.1842
Ir 0.0000 0.0000 7.6515
```

Summary:
size of the total moment = 0.00 μB per cell
uncorrected energy = -5.383 eV/atom


[6]
Below is a relaxed structure of LaDy2Hg2, with properties calculated at the PBE-GGA level.

```
10
Lattice="3.7660 0.0000 0.0000 0.0000 5.4585 0.0000 -1.8808 0.0000 13.8543" Properties=species:S:1:pos:R:3 pbc="T T T"
La 0.0073 1.3646 4.0384
La 1.8778 4.0939 9.8160
Dy 0.0026 4.0939 1.3380
Dy 0.0003 4.0939 6.5463
Dy 1.8849 1.3646 7.3080
Dy 1.8825 1.3646 12.5163
Hg -0.0013 1.3646 9.8581
Hg 0.0042 4.0939 12.6423
Hg 1.8809 1.3646 1.2120
Hg 1.8865 4.0939 3.9962
```

Summary:
size of the total moment = 0.00 μB per cell
uncorrected energy = -3.327 eV/atom


[7]
Below is a relaxed structure of SrLi2Ca2Bi2, with properties calculated at the PBE-GGA level.

```
7
Lattice="2.4879 1.4364 9.5929 -2.4879 1.4364 9.5929 0.0000 -2.8728 9.5929" Properties=species:S:1:pos:R:3 pbc="T T T"
Sr 0.0000 0.0000 0.0000
Li 0.0000 0.0000 12.2870
Li 0.0000 0.0000 16.4915
Ca 0.0000 0.0000 3.8917
Ca 0.0000 0.0000 24.8869
Bi 0.0000 0.0000 7.4342
Bi 0.0000 0.0000 21.3444
```

Summary:
size of the total moment = 0.00 μB per cell
uncorrected energy = -3.079 eV/atom


[8]
Below is a relaxed structure of RbSn2Br8, with properties calculated at the PBE-GGA level.

```
11
Lattice="7.2158 -4.0062 0.0000 7.2158 4.0062 0.0000 -3.0151 0.0000 8.4562" Properties=species:S:1:pos:R:3 pbc="T T T"
Rb 0.0000 0.0000 0.0000
Sn 0.8873 0.0000 5.8721
Sn 10.5293 0.0000 2.5840
Br 4.8080 2.0164 1.9895
Br 1.4551 0.0000 3.3614
Br 6.6085 2.0164 6.4667
Br 3.0500 0.0000 7.2915
Br 8.3665 0.0000 1.1647
Br 4.8080 -2.0164 1.9895
Br 9.9615 0.0000 5.0948
Br 6.6085 -2.0164 6.4667
```

Summary:
formation energy without anion corrections = -817 meV/atom
size of the total moment = 0.00 μB per cell


[9]
Below is a relaxed structure of BeZnFe2, with properties calculated at the PBE-GGA level.

```
4
Lattice="4.1542 -1.2471 0.0000 4.1542 1.2471 0.0000 -0.7706 0.0000 4.3331" Properties=species:S:1:pos:R:3 pbc="T T T"
Be 0.0000 0.0000 0.0000
Zn 1.5195 0.0000 3.2312
Fe 3.7472 0.0000 2.0601
Fe 5.9374 0.0000 1.0134
```

Summary:
size of the total moment = 4.13 μB per cell
uncorrected energy = -5.436 eV/atom


[10]
Below is a relaxed structure of ScHgPtSe2, with properties calculated at the PBE-GGA level.

```
5
Lattice="5.0653 0.0000 0.0000 0.0000 5.0653 0.0000 0.0000 0.0000 5.3803" Properties=species:S:1:pos:R:3 pbc="T T T"
Sc 0.0000 0.0000 0.0000
Hg 0.0000 0.0000 2.6902
Pt 2.5327 2.5327 0.0000
Se 0.0000 2.5327 2.6902
Se 2.5327 0.0000 2.6902
```

Summary:
formation energy without anion corrections = 881 meV/atom
size of the total moment = 0.00 μB per cell


[11]
Below is a relaxed structure of Na2In2Pt, with properties calculated at the PBE-GGA level.

```
10
Lattice="-2.3060 2.3060 12.6186 2.3060 -2.3060 12.6186 2.3060 2.3060 -12.6186" Properties=species:S:1:pos:R:3 pbc="T T T"
Na 2.3060 1.1530 -5.0969
Na 0.0000 1.1530 1.2124
Na 2.3060 1.1530 11.4062
Na 0.0000 1.1530 17.7155
In 2.3060 1.1530 -1.7343
In 0.0000 1.1530 4.5750
In 2.3060 1.1530 8.0436
In 0.0000 1.1530 14.3529
Pt 2.3060 1.1530 3.1546
Pt 0.0000 1.1530 9.4639
```

Summary:
size of the total moment = 0.00 μB per cell
uncorrected energy = -3.036 eV/atom


[12]
Below is a relaxed structure of ScPb2I, with properties calculated at the PBE-GGA level.

```
4
Lattice="0.0000 3.9421 3.9421 3.9421 0.0000 3.9421 3.9421 3.9421 0.0000" Properties=species:S:1:pos:R:3 pbc="T T T"
Sc 0.0000 0.0000 0.0000
Pb 1.9710 1.9710 1.9710
Pb 5.9131 5.9131 5.9131
I 3.9421 3.9421 3.9421
```

Summary:
formation energy without anion corrections = 216 meV/atom
size of the total moment = 0.00 μB per cell